# 1
The following is a GGA-PBE calculation of crystalline Rb2SeNCl6 at its relaxed geometry, from the Alexandria database.

Unit cell a=7.829 b=7.829 c=7.164 alpha=56.88 beta=56.88 gamma=90.00
Atoms (fractional coordinates):
Cl 0.220 0.780 0.000
Cl 0.780 0.780 0.000
Cl 0.220 0.220 0.000
Cl 0.780 0.220 0.000
Cl 0.718 0.718 0.564
Cl 0.282 0.282 0.436
Rb 0.250 0.750 0.500
Rb 0.750 0.250 0.500
Se 0.000 0.000 0.000
N 0.500 0.500 0.000

# 2
The following is a GGA-PBE calculation of crystalline AgSI at its relaxed geometry, from the Alexandria database.

Unit cell a=3.519 b=3.873 c=5.808 alpha=96.43 beta=90.28 gamma=90.02
Atoms (fractional coordinates):
I 0.784 0.198 0.344
S 0.784 0.199 0.844
Ag 0.284 0.699 0.844

Values from the calculation:
Relative energy among the computed polymorphs (kJ per mole of atoms): 17.5

Number 1: final energy -29.7 eV/cell. Number 2: final energy -8.0 eV/cell.